# SmMg6Ag12 PBE-GGA optimized geometry
# Final energy in eV/cell: -49.06
# SG: No. 166
# Energy relative to the elements in eV per atom: -0.030
# Size of the total moment in μB/cell: 0.00
data_SmMg6Ag12
_chemical_formula_sum 'Sm1 Mg6 Ag12'
_cell_length_a 7.6416
_cell_length_b 7.6416
_cell_length_c 7.6416
_cell_angle_alpha 104.42
_cell_angle_beta 104.42
_cell_angle_gamma 104.42
_symmetry_space_group_name_H-M 'P 1'
_symmetry_Int_Tables_number 1
loop_
_symmetry_equiv_pos_as_xyz
'x,y,z'
loop_
_atom_site_label
_atom_site_type_symbol
_atom_site_fract_x
_atom_site_fract_y
_atom_site_fract_z
Mg1 Mg 0.2844 0.2844 0.7026
Mg2 Mg 0.7156 0.7156 0.2974
Mg3 Mg 0.2974 0.7156 0.7156
Mg4 Mg 0.7156 0.2974 0.7156
Mg5 Mg 0.7026 0.2844 0.2844
Mg6 Mg 0.2844 0.7026 0.2844
Ag1 Ag 0.6344 0.6344 0.8798
Ag2 Ag 0.8798 0.6344 0.6344
Ag3 Ag 0.6344 0.8798 0.6344
Ag4 Ag 0.8869 0.5000 0.1131
Ag5 Ag 0.3656 0.3656 0.1202
Ag6 Ag 0.1131 0.5000 0.8869
Ag7 Ag 0.5000 0.8869 0.1131
Ag8 Ag 0.1131 0.8869 0.5000
Ag9 Ag 0.1202 0.3656 0.3656
Ag10 Ag 0.3656 0.1202 0.3656
Ag11 Ag 0.8869 0.1131 0.5000
Ag12 Ag 0.5000 0.1131 0.8869
Sm1 Sm 0.0000 0.0000 0.0000